# Dy5HgRh4

Dy5HgRh4 after structural relaxation (PBE, Alexandria via LeMat-Bulk).

POSCAR file:
```
Dy5HgRh4
1.0
3.4663 0.0000 0.0000
0.0000 3.4663 0.0000
0.0000 0.0000 17.6864
Rh Dy Hg
4 5 1
Direct
0.0000 0.0000 0.5958
0.0000 0.0000 0.7893
0.0000 0.0000 0.2107
0.0000 0.0000 0.4042
0.5000 0.5000 0.6912
0.5000 0.5000 0.1193
0.5000 0.5000 0.8807
0.5000 0.5000 0.3088
0.5000 0.5000 0.5000
0.0000 0.0000 0.0000
```

Computed properties:
Calculated volume   21.25 A^3/atom
Total magnetic moment   0.00 μB per formula unit
Total energy   -6.074 eV/atom
Space group   P4/mmm, No. 123
E_form   -0.802 eV per atom
Fermi-level density of states   6.283 states/eV per cell